Version i
## Nb2FeHRh (PBE)

Data for a relaxed Nb2FeHRh crystal.

Cell and atoms, written as POSCAR:
```
Nb2FeHRh
1.0
4.128 0.000 0.000
0.000 4.128 0.000
0.000 0.000 3.690
Nb Fe H Rh
2 1 1 1
direct
0.000 0.500 0.000
0.500 0.000 0.000
0.000 0.000 0.500
0.000 0.000 0.000
0.500 0.500 0.500
```

**Calculated density**: 9.13 g cm⁻³
**M_tot**: 0.00 μB per formula unit

Version ii
## Nb2FeHRh (PBE)

Data for a relaxed Nb2FeHRh crystal.

Cell and atoms, written as POSCAR:
```
Nb2FeHRh
1.0
4.073 0.000 0.000
0.000 4.073 0.000
0.000 0.000 3.894
Nb Fe H Rh
2 1 1 1
direct
0.000 0.500 0.000
0.500 0.000 0.000
0.000 0.000 0.500
0.500 0.500 0.000
0.500 0.500 0.500
```

**Calculated density**: 8.88 g cm⁻³
**M_tot**: 1.53 μB per formula unit

Pick the least stable structure from those above. Pick: version ii